Li2ZrAg | GGA-PBE | optimized geometry Values from VASP.

space group: Pmmm (47)
DOS(E_F): 2.9 states/eV/cell
ΔE to the lowest computed polymorph: 77 meV per atom
calculated formation energy: 0.111 eV per atom
ρ: 4623 kg/m3

Structure (Quantum ESPRESSO input):
```
&SYSTEM
  ibrav = 0, nat = 4, ntyp = 3
/
ATOMIC_SPECIES
Ag 107.87 Ag.upf
Li 6.94 Li.upf
Zr 91.22 Zr.upf
ATOMIC_POSITIONS angstrom
Ag -0.541 -3.340 -1.190
Li 0.000 0.000 0.000
Li -2.572 -1.353 -0.417
Zr 0.213 -2.510 1.523
CELL_PARAMETERS angstrom
-1.817 -0.523 2.296
-3.326 -2.183 -3.130
2.244 -4.497 0.751
```